MgMn3F | GGA+U | optimized geometry

Summary:
* energy above the most stable polymorph in this dataset: 0.797 eV per atom

a b c (Å): 5.324 5.324 5.324
angles (deg): 90.00 90.00 90.00
Each line ends with the local moment (μB).
Element x y z (fractional)
Mn: 0.500 0.000 0.000  4.57
F: 0.500 0.500 0.500  0.05
Mn: 0.000 0.000 0.500  4.67
Mg: 0.000 0.000 0.000  -0.08
Mn: 0.000 0.500 0.000  4.64